# 1
A plane-wave DFT calculation with PBE was carried out for an optimized crystal structure of Ho5NiHg.

Cell and atoms, written as POSCAR:
```
Ho5NiHg
1.0
-3.7212 3.9478 -3.3499
-5.7995 1.1242 2.3992
0.3699 10.0035 5.0469
Ho Ni Hg
10 2 2
Cartesian
-6.9252 5.7725 -1.0328 Ho
-3.7333 6.8929 3.3764 Ho
-7.4593 9.7973 3.4798 Ho
-5.6842 3.6561 3.5977 Ho
-5.9390 12.2243 5.1975 Ho
-3.2118 2.8511 -1.1014 Ho
-3.4666 11.4193 0.4985 Ho
-1.6915 5.2780 0.6164 Ho
-5.4175 8.1824 0.7197 Ho
-2.2256 9.3028 5.1289 Ho
0.0000 0.0000 0.0000 Ni
0.1850 5.0017 2.5234 Ni
-4.7205 4.9653 0.9319 Hg
-4.4303 10.1101 3.1642 Hg
```

Output
Its crystal system is monoclinic. For the density, the calculation gives 9.40 g cm⁻³. As for the size of the total moment: 0.00 μB per atom. The space-group type is No. 15. The value obtained for the total DFT energy (no corrections) is -29.8 eV/f.u.

# 2
A plane-wave DFT calculation with PBE was carried out for an optimized crystal structure of HoNiHg.

Cell and atoms, written as POSCAR:
```
HoNiHg
1.0
-0.5014 -2.7640 -2.1937
3.1478 -1.3517 0.9836
-3.4202 -0.3080 4.0651
Ni Hg Ho
1 1 1
Cartesian
-1.2068 -1.3615 1.9912 Ni
0.7971 -2.6514 0.2630 Hg
-0.5088 -4.1246 2.4178 Ho
```

Output
Its crystal system is tetragonal. For the density, the calculation gives 11.83 g cm⁻³. As for the size of the total moment: 0.00 μB per atom. The space-group type is No. 107. The value obtained for the total DFT energy (no corrections) is -11.6 eV/f.u.

# 3
A plane-wave DFT calculation with PBE was carried out for an optimized crystal structure of Ho3Ni2Hg.

Cell and atoms, written as POSCAR:
```
Ho3Ni2Hg
1.0
4.0628 0.0000 0.0000
0.0000 7.1829 0.0000
0.0000 0.0000 9.1828
Ho Ni Hg
6 4 2
Cartesian
2.0314 1.2696 1.4004 Ho
2.0314 1.4868 6.8557 Ho
0.0000 2.3578 4.0420 Ho
2.0314 4.8611 7.7824 Ho
2.0314 5.0782 2.3270 Ho
0.0000 5.9493 5.1407 Ho
0.0000 7.0111 2.6155 Ni
2.0314 0.3569 4.0729 Ni
0.0000 3.4196 6.5672 Ni
2.0314 3.9483 5.1099 Ni
0.0000 6.9210 8.8231 Hg
0.0000 3.3296 0.3597 Hg
```

Output
Its crystal system is orthorhombic. For the density, the calculation gives 10.07 g cm⁻³. As for the size of the total moment: 0.00 μB per atom. The space-group type is No. 26. The value obtained for the total DFT energy (no corrections) is -28.1 eV/f.u.

# 4
A plane-wave DFT calculation with PBE was carried out for an optimized crystal structure of Ho12NiHg6.

Cell and atoms, written as POSCAR:
```
Ho12NiHg6
1.0
8.1403 0.3333 0.3993
-0.9046 8.0967 0.3993
-0.9046 -1.0539 8.0378
Ho Ni Hg
12 1 6
Cartesian
5.5586 4.4445 4.2237 Ho
2.4800 6.0040 5.1278 Ho
3.5505 3.0536 6.8236 Ho
0.7725 2.9316 4.6127 Ho
3.8511 1.3722 3.7086 Ho
2.7806 4.3226 2.0128 Ho
7.4935 0.7349 2.9080 Ho
6.7407 5.8584 0.9195 Ho
4.7688 -0.4446 7.5937 Ho
-1.1625 6.6412 5.9284 Ho
-0.4097 1.5177 7.9169 Ho
1.5623 7.8208 1.2427 Ho
0.0000 0.0000 0.0000 Ni
4.2325 6.9143 2.6972 Hg
5.5708 2.9775 1.5515 Hg
0.1384 5.6572 3.2069 Hg
2.0986 0.4619 6.1392 Hg
0.7602 4.3986 7.2850 Hg
6.1927 1.7189 5.6296 Hg
```

Output
Its crystal system is trigonal. For the density, the calculation gives 9.99 g cm⁻³. As for the size of the total moment: 0.00 μB per atom. The space-group type is No. 148. The value obtained for the total DFT energy (no corrections) is -67.0 eV/f.u.

# 5
A plane-wave DFT calculation with PBE was carried out for an optimized crystal structure of HoNiHg.

Cell and atoms, written as POSCAR:
```
HoNiHg
1.0
-3.7943 -0.9383 0.4274
0.9477 -2.8346 2.1902
-0.9603 6.4422 5.6185
Ho Ni Hg
2 2 2
Cartesian
-0.8690 2.4199 6.6421 Ho
-2.9380 0.2494 1.5940 Ho
-0.5148 -1.2379 1.7551 Ni
-3.2922 3.9071 6.4810 Ni
-3.1352 2.2857 4.3147 Hg
-0.6718 0.3835 3.9214 Hg
```

Output
Its crystal system is orthorhombic. For the density, the calculation gives 11.51 g cm⁻³. As for the size of the total moment: 0.00 μB per atom. The space-group type is No. 63. The value obtained for the total DFT energy (no corrections) is -12.1 eV/f.u.

# 6
A plane-wave DFT calculation with PBE was carried out for an optimized crystal structure of Ho12Ni5Hg.

Cell and atoms, written as POSCAR:
```
Ho12Ni5Hg
1.0
-1.3221 7.3815 -3.4252
5.4952 -4.2328 -4.4556
-6.9174 -4.4796 0.2215
Ho Ni Hg
12 5 1
Cartesian
-1.1230 -2.7362 -5.3121 Ho
-1.6212 1.4053 -2.3471 Ho
-5.1105 2.6342 -3.7038 Ho
2.3662 -3.9651 -3.9554 Ho
0.2297 0.6080 -5.3097 Ho
-2.9739 -1.9390 -2.3495 Ho
-3.4742 -5.0034 -3.8388 Ho
0.7299 3.6724 -3.8205 Ho
-3.2203 -0.0051 -5.2340 Ho
0.4760 -1.3259 -2.4253 Ho
-0.3187 -6.1948 -4.7915 Ho
-2.4255 4.8639 -2.8677 Ho
2.6756 2.0188 -5.0528 Ni
1.4975 1.1299 -2.8279 Ni
-4.2946 0.3794 -2.1226 Ni
1.5504 -1.7103 -5.5366 Ni
0.0000 0.0000 0.0000 Ni
-0.7111 -4.3562 -2.1170 Hg
```

Output
Its crystal system is orthorhombic. For the density, the calculation gives 9.53 g cm⁻³. As for the size of the total moment: 0.00 μB per atom. The space-group type is No. 71. The value obtained for the total DFT energy (no corrections) is -90.3 eV/f.u.

What is the formula in the third record?
Ho3Ni2Hg